Entry 1:
A relaxed SrOs3O12 crystal. Source: Alexandria via LeMat-Bulk, functional PBE.

## Properties
Final energy: -684.3 eV for the cell shown
Raw formation energy: -1.20 eV per atom
Calculated volume: 21.75 Å³ per atom

Geometry as CIF:
```
data_SrOs3O12
_cell_length_a 9.1776
_cell_length_b 9.1776
_cell_length_c 28.6193
_cell_angle_alpha 90.00
_cell_angle_beta 90.00
_cell_angle_gamma 120.00
_space_group_name_H-M_alt 'R 3 c'
_space_group_IT_number 161
_space_group_name_Hall 'R 3 -2"c'
loop_
_atom_site_label
_atom_site_fract_x
_atom_site_fract_y
_atom_site_fract_z
_atom_site_occupancy
Sr1 0.0000 0.0000 0.0000 1
Os1 0.0101 0.3611 0.2733 1
O1 0.0121 0.4704 0.3241 1
O2 0.0668 0.2279 0.5607 1
O3 0.0900 0.5294 0.9505 1
O4 0.1008 0.5401 0.5967 1
```

Entry 2:
A relaxed SrOsO4 crystal. Source: Alexandria via LeMat-Bulk, functional PBE.

## Properties
Final energy: -85.1 eV for the cell shown
Raw formation energy: -1.63 eV per atom
Calculated volume: 13.92 Å³ per atom

Geometry as CIF:
```
data_SrOsO4
_cell_length_a 5.978
_cell_length_b 5.214
_cell_length_c 5.502
_cell_angle_alpha 90.00
_cell_angle_beta 103.08
_cell_angle_gamma 90.00
_space_group_name_H-M_alt 'P 1 21/c 1'
_space_group_IT_number 14
loop_
_space_group_symop_operation_xyz
'x,y,z'
'-x,-y,-z'
'-x,y+1/2,-z+1/2'
'x,-y+1/2,z+1/2'
loop_
_atom_site_label
_atom_site_fract_x
_atom_site_fract_y
_atom_site_fract_z
_atom_site_occupancy
Sr1 0.000 0.000 0.000 1
Os1 0.500 0.000 0.500 1
O1 0.198 0.118 0.429 1
O2 0.404 0.721 0.699 1
```

Entry 3:
A relaxed Sr3OsO crystal. Source: Alexandria via LeMat-Bulk, functional PBE.

## Properties
Final energy: -24.0 eV for the cell shown
Raw formation energy: -0.56 eV per atom
Calculated volume: 24.76 Å³ per atom

Geometry as CIF:
```
data_Sr3OsO
_cell_length_a 4.984
_cell_length_b 4.984
_cell_length_c 4.984
_cell_angle_alpha 90.00
_cell_angle_beta 90.00
_cell_angle_gamma 90.00
_space_group_name_H-M_alt 'P m -3 m'
_space_group_IT_number 221
_space_group_name_Hall '-P 4 2 3'
loop_
_atom_site_label
_atom_site_fract_x
_atom_site_fract_y
_atom_site_fract_z
_atom_site_occupancy
Sr1 0.000 0.000 0.500 1
Os1 0.500 0.500 0.500 1
O1 0.000 0.000 0.000 1
```

Entry 4:
A relaxed Sr11Os4O24 crystal. Source: Alexandria via LeMat-Bulk, functional PBE.

## Properties
Final energy: -1068.2 eV for the cell shown
Raw formation energy: -2.17 eV per atom
Calculated volume: 14.56 Å³ per atom

Geometry as CIF:
```
data_Sr11Os4O24
_cell_length_a 11.786
_cell_length_b 11.786
_cell_length_c 16.353
_cell_angle_alpha 90.00
_cell_angle_beta 90.00
_cell_angle_gamma 90.00
_space_group_name_H-M_alt 'I 41/a'
_space_group_IT_number 88
loop_
_space_group_symop_operation_xyz
'x,y,z'
'-x,-y,-z'
'-y+3/4,x+1/4,z+1/4'
'y+3/4,-x+1/4,-z+1/4'
'-x+1/2,-y,z+1/2'
'x+1/2,y,-z+1/2'
'y+3/4,-x+3/4,z+3/4'
'-y+3/4,x+3/4,-z+3/4'
'x+1/2,y+1/2,z+1/2'
'-x+1/2,-y+1/2,-z+1/2'
'-y+1/4,x+3/4,z+3/4'
'y+1/4,-x+3/4,-z+3/4'
'-x,-y+1/2,z'
'x,y+1/2,-z'
'y+1/4,-x+1/4,z+1/4'
'-y+1/4,x+1/4,-z+1/4'
loop_
_atom_site_label
_atom_site_fract_x
_atom_site_fract_y
_atom_site_fract_z
_atom_site_occupancy
Sr1 0.000 0.250 0.125 1
Sr2 0.000 0.250 0.363 1
Sr3 0.023 0.039 0.715 1
Sr4 0.204 0.013 0.138 1
Os1 0.000 0.000 0.000 1
Os2 0.000 0.000 0.500 1
O1 0.012 0.471 0.117 1
O2 0.080 0.423 0.585 1
O3 0.095 0.128 0.476 1
O4 0.106 0.439 0.423 1
O5 0.115 0.114 0.994 1
O6 0.121 0.384 0.979 1
```

Entry 5:
A relaxed Sr3OsO8 crystal. Source: Alexandria via LeMat-Bulk, functional PBE.

## Properties
Final energy: -146.4 eV for the cell shown
Raw formation energy: -1.44 eV per atom
Calculated volume: 14.79 Å³ per atom

Geometry as CIF:
```
data_Sr3OsO8
_cell_length_a 5.633
_cell_length_b 5.633
_cell_length_c 11.184
_cell_angle_alpha 90.00
_cell_angle_beta 90.00
_cell_angle_gamma 90.00
_space_group_name_H-M_alt 'I 4/m m m'
_space_group_IT_number 139
_space_group_name_Hall '-I 4 2'
loop_
_atom_site_label
_atom_site_fract_x
_atom_site_fract_y
_atom_site_fract_z
_atom_site_occupancy
Sr1 0.000 0.000 0.000 1
Sr2 0.000 0.500 0.250 1
Os1 0.000 0.000 0.500 1
O1 0.209 0.209 0.393 1
```

Entry 6:
A relaxed SrTb2OsO8 crystal. Source: Alexandria via LeMat-Bulk, functional PBE.

## Properties
Final energy: -178.7 eV for the cell shown
Raw formation energy: -2.29 eV per atom
Calculated volume: 15.30 Å³ per atom

Geometry as CIF:
```
data_SrTb2OsO8
_cell_length_a 7.148
_cell_length_b 7.314
_cell_length_c 7.025
_cell_angle_alpha 90.00
_cell_angle_beta 90.00
_cell_angle_gamma 90.00
_space_group_name_H-M_alt 'C m m m'
_space_group_IT_number 65
_space_group_name_Hall '-C 2 2'
loop_
_atom_site_label
_atom_site_fract_x
_atom_site_fract_y
_atom_site_fract_z
_atom_site_occupancy
Sr1 0.000 0.000 0.000 1
Tb1 0.000 0.500 0.242 1
Os1 0.000 0.000 0.500 1
O1 0.000 0.259 0.500 1
O2 0.000 0.321 0.000 1
O3 0.185 0.000 0.311 1
```

Entry 7:
A relaxed SrTbOs2O8 crystal. Source: Alexandria via LeMat-Bulk, functional PBE.

## Properties
Final energy: -88.2 eV for the cell shown
Raw formation energy: -1.65 eV per atom
Calculated volume: 18.30 Å³ per atom

Geometry as CIF:
```
data_SrTbOs2O8
_cell_length_a 5.9339
_cell_length_b 5.9339
_cell_length_c 7.2012
_cell_angle_alpha 90.00
_cell_angle_beta 90.00
_cell_angle_gamma 120.00
_space_group_name_H-M_alt 'P -3'
_space_group_IT_number 147
loop_
_space_group_symop_operation_xyz
'x,y,z'
'-x,-y,-z'
'-y,x-y,z'
'y,-x+y,-z'
'-x+y,-x,z'
'x-y,x,-z'
loop_
_atom_site_label
_atom_site_fract_x
_atom_site_fract_y
_atom_site_fract_z
_atom_site_occupancy
Sr1 0.0000 0.0000 0.0000 1
Tb1 0.0000 0.0000 0.5000 1
Os1 0.3333 0.6667 0.7913 1
O1 0.1617 0.3251 0.7120 1
O2 0.3333 0.6667 0.0404 1
```

Entry 8:
A relaxed SrTc2OsO8 crystal. Source: Alexandria via LeMat-Bulk, functional PBE.

## Properties
Final energy: -91.4 eV for the cell shown
Raw formation energy: -1.51 eV per atom
Calculated volume: 12.37 Å³ per atom

Geometry as CIF:
```
data_SrTc2OsO8
_cell_length_a 4.864
_cell_length_b 6.276
_cell_length_c 4.869
_cell_angle_alpha 90.00
_cell_angle_beta 92.61
_cell_angle_gamma 90.00
_space_group_name_H-M_alt 'P 1 2/m 1'
_space_group_IT_number 10
loop_
_space_group_symop_operation_xyz
'x,y,z'
'-x,-y,-z'
'-x,y,-z'
'x,-y,z'
loop_
_atom_site_label
_atom_site_fract_x
_atom_site_fract_y
_atom_site_fract_z
_atom_site_occupancy
Sr1 0.000 0.000 0.000 1
Tc1 0.500 0.263 0.500 1
Os1 0.000 0.500 0.000 1
O1 0.222 0.298 0.220 1
O2 0.284 0.500 0.714 1
O3 0.337 0.000 0.661 1
```